No. 1
## TbAl2Ir2 (PBE-GGA)

Data for an optimized crystal structure of TbAl2Ir2.

Summary:
* total energy: -6.87 eV per atom
* density: 10.906 g cm⁻³
* DFT formation energy: -0.90 eV/atom
* symmetry: P4/nmm

abc: 4.2328 4.2328 10.1523
angles: 90.00 90.00 90.00
Last column: nearest neighbours and their distance in Å.
Atoms (fractional coordinates):
Tb1 0.5000 0.0000 0.2638  8 Ir 3.20-3.27, 8 Al 3.20-3.41
Tb2 0.0000 0.5000 0.7362  8 Ir 3.20-3.27, 8 Al 3.20-3.41
Al1 0.0000 0.5000 0.3766  5 Ir 2.46
Al2 0.5000 0.0000 0.6234  5 Ir 2.46
Al3 0.5000 0.5000 0.0000  4 Ir 2.52
Al4 0.0000 0.0000 0.0000  4 Ir 2.52
Ir1 0.5000 0.5000 0.5000  4 Al 2.46
Ir2 0.0000 0.0000 0.5000  4 Al 2.46
Ir3 0.0000 0.5000 0.1344  5 Al 2.46-2.52
Ir4 0.5000 0.0000 0.8656  5 Al 2.46-2.52

No. 2
## TbAlIr2 (PBE-GGA)

Data for an optimized crystal structure of TbAlIr2.

Summary:
* total energy: -7.22 eV per atom
* density: 13.847 g cm⁻³
* DFT formation energy: -0.70 eV/atom
* symmetry: P4/mmm

abc: 3.5016 4.4197 4.4197
angles: 90.00 90.00 90.00
Last column: nearest neighbours and their distance in Å.
Atoms (fractional coordinates):
Ir1 0.0000 0.0000 0.5000  4 Tb 2.82, 4 Al 2.82, 4 Ir 3.13
Ir2 0.0000 0.5000 0.0000  4 Tb 2.82, 4 Al 2.82, 4 Ir 3.13
Tb1 0.5000 0.5000 0.5000  8 Ir 2.82, 4 Al 3.13
Al1 0.5000 0.0000 0.0000  8 Ir 2.82, 4 Tb 3.13

No. 3
## TbAlIr2 (PBE-GGA)

Data for an optimized crystal structure of TbAlIr2.

Summary:
* total energy: -7.28 eV per atom
* density: 14.042 g cm⁻³
* DFT formation energy: -0.76 eV/atom
* symmetry: P4/mmm

abc: 3.1232 3.1232 6.9144
angles: 90.00 90.00 90.00
Last column: nearest neighbours and their distance in Å.
Atoms (fractional coordinates):
Ir1 0.0000 0.0000 0.7892  4 Al 2.65, 1 Ir 2.92
Ir2 0.0000 0.0000 0.2108  4 Al 2.65, 1 Ir 2.92
Tb1 0.5000 0.5000 0.5000  8 Ir 2.98, 4 Tb 3.12
Al1 0.5000 0.5000 0.0000  8 Ir 2.65

No. 4
## TbAlIr2 (PBE-GGA)

Data for an optimized crystal structure of TbAlIr2.

Summary:
* total energy: -6.61 eV per atom
* density: 10.981 g cm⁻³
* DFT formation energy: -0.08 eV/atom
* symmetry: Pmma

abc: 7.0671 5.6403 8.6551
angles: 90.00 90.00 90.00
Last column: nearest neighbours and their distance in Å.
Atoms (fractional coordinates):
Tb1 0.0000 0.2500 0.6280  3 Al 3.03-3.33
Tb2 0.5000 0.7500 0.2107  4 Ir 2.69-2.87, 2 Al 2.88
Tb3 0.0000 0.7500 0.3720  3 Al 3.03-3.33
Tb4 0.5000 0.2500 0.7893  4 Ir 2.69-2.87, 2 Al 2.88
Al1 0.5000 0.7500 0.7211  4 Ir 2.38-2.39
Al2 0.5000 0.2500 0.2789  4 Ir 2.38-2.39
Al3 0.0000 0.2500 0.2429  4 Ir 2.53-2.68
Al4 0.0000 0.7500 0.7571  4 Ir 2.53-2.68
Ir1 0.0000 0.0000 0.0000  2 Al 2.53, 6 Ir 2.60-2.82
Ir2 0.5000 0.5000 0.5000  2 Al 2.38
Ir3 0.3018 0.7500 0.9451  1 Al 2.39, 2 Ir 2.60
Ir4 0.6982 0.2500 0.0549  1 Al 2.39, 2 Ir 2.60
Ir5 0.6982 0.7500 0.9451  1 Al 2.39, 2 Ir 2.60
Ir6 0.3018 0.2500 0.0549  1 Al 2.39, 2 Ir 2.60
Ir7 0.0000 0.5000 0.0000  2 Al 2.53, 6 Ir 2.60-2.82
Ir8 0.5000 0.0000 0.5000  2 Al 2.38

No. 5
## Tb2Al9Ir3 (PBE-GGA)

Data for an optimized crystal structure of Tb2Al9Ir3.

Summary:
* total energy: -5.83 eV per atom
* density: 7.996 g cm⁻³
* DFT formation energy: -0.86 eV/atom
* symmetry: C2/c

abc: 7.5839 7.5839 10.4638
angles: 89.89 111.18 120.27
Last column: nearest neighbours and their distance in Å.
Atoms (fractional coordinates):
Tb1 0.3363 0.2479 0.7502  11 Al 3.03-3.13
Tb2 0.6637 0.7521 0.2498  11 Al 3.03-3.13
Tb3 0.9977 0.5862 0.7498  11 Al 3.03-3.13
Tb4 0.0023 0.4138 0.2502  11 Al 3.03-3.13
Al1 0.4599 0.9195 0.7480  2 Ir 2.56-2.58, 6 Al 2.74-2.86
Al2 0.5401 0.0805 0.2520  2 Ir 2.56-2.58, 6 Al 2.74-2.86
Al3 0.6715 0.7119 0.7520  2 Ir 2.56-2.58, 6 Al 2.74-2.86
Al4 0.3285 0.2881 0.2480  2 Ir 2.56-2.58, 6 Al 2.74-2.86
Al5 0.4508 0.6425 0.9260  3 Ir 2.56-2.62, 3 Al 2.78-2.80
Al6 0.5492 0.3575 0.0740  3 Ir 2.56-2.62, 3 Al 2.78-2.80
Al7 0.2165 0.5248 0.5740  3 Ir 2.56-2.62, 3 Al 2.78-2.80
Al8 0.7835 0.4752 0.4260  3 Ir 2.56-2.62, 3 Al 2.78-2.80
Al9 0.8795 0.1295 0.7500  2 Ir 2.57, 4 Al 2.74-2.78
Al10 0.1205 0.8705 0.2500  2 Ir 2.57, 4 Al 2.74-2.78
Al11 0.1313 0.9835 0.9461  3 Ir 2.58-2.63, 4 Al 2.73-2.86
Al12 0.8687 0.0165 0.0539  3 Ir 2.58-2.63, 4 Al 2.73-2.86
Al13 0.5375 0.1852 0.5539  3 Ir 2.58-2.63, 4 Al 2.73-2.86
Al14 0.4625 0.8148 0.4461  3 Ir 2.58-2.63, 4 Al 2.73-2.86
Al15 0.8797 0.8581 0.5715  3 Ir 2.58-2.61, 4 Al 2.77-2.86
Al16 0.1203 0.1419 0.4285  3 Ir 2.58-2.61, 4 Al 2.77-2.86
Al17 0.7866 0.3082 0.9285  3 Ir 2.58-2.61, 4 Al 2.77-2.86
Al18 0.2134 0.6918 0.0715  3 Ir 2.58-2.61, 4 Al 2.77-2.86
Ir1 0.5000 0.0000 0.0000  8 Al 2.58-2.62
Ir2 0.5000 0.5000 0.5000  8 Al 2.58-2.62
Ir3 0.8428 0.1717 0.4993  8 Al 2.56-2.63
Ir4 0.1572 0.8283 0.5007  8 Al 2.56-2.63
Ir5 0.1724 0.3435 0.0007  8 Al 2.56-2.63
Ir6 0.8276 0.6565 0.9993  8 Al 2.56-2.63

No. 6
## TbTiAlIr2 (PBE-GGA)

Data for an optimized crystal structure of TbTiAlIr2.

Summary:
* total energy: -7.69 eV per atom
* density: 10.985 g cm⁻³
* DFT formation energy: -0.89 eV/atom
* symmetry: I-4m2

abc: 4.0267 4.0267 6.4282
angles: 108.25 108.25 90.00
Last column: nearest neighbours and their distance in Å.
Atoms (fractional coordinates):
Tb1 0.0000 0.0000 0.0000  8 Ir 3.14
Ti1 0.2500 0.7500 0.5000  4 Ir 2.55, 4 Al 2.85
Al1 0.7500 0.2500 0.5000  4 Ir 2.55, 4 Ti 2.85
Ir1 0.6146 0.6146 0.2291  2 Al 2.55, 2 Ti 2.55, 1 Ir 2.64
Ir2 0.3854 0.3854 0.7709  2 Al 2.55, 2 Ti 2.55, 1 Ir 2.64

No. 7
## Tb2TiAl2Ir5 (PBE-GGA)

Data for an optimized crystal structure of Tb2TiAl2Ir5.

Summary:
* total energy: -7.71 eV per atom
* density: 13.467 g cm⁻³
* DFT formation energy: -0.82 eV/atom
* symmetry: P4/mbm

abc: 3.4788 9.8934 9.8934
angles: 90.00 90.00 90.00
Last column: nearest neighbours and their distance in Å.
Atoms (fractional coordinates):
Tb1 0.0000 0.6739 0.1739  3 Al 2.82-3.00, 6 Ir 2.99-3.13
Tb2 0.0000 0.3261 0.8261  3 Al 2.82-3.00, 6 Ir 2.99-3.13
Tb3 0.0000 0.1739 0.3261  3 Al 2.82-3.00, 6 Ir 2.99-3.13
Tb4 0.0000 0.8261 0.6739  3 Al 2.82-3.00, 6 Ir 2.99-3.13
Ti1 0.0000 0.0000 0.0000  8 Ir 2.73
Ti2 0.0000 0.5000 0.5000  8 Ir 2.73
Al1 0.0000 0.1249 0.6249  6 Ir 2.47-2.51
Al2 0.0000 0.8751 0.3751  6 Ir 2.47-2.51
Al3 0.0000 0.6249 0.8751  6 Ir 2.47-2.51
Al4 0.0000 0.3751 0.1249  6 Ir 2.47-2.51
Ir1 0.5000 0.2028 0.0651  2 Al 2.51, 2 Ti 2.73
Ir2 0.5000 0.7972 0.9349  2 Al 2.51, 2 Ti 2.73
Ir3 0.5000 0.0651 0.7972  2 Al 2.51, 2 Ti 2.73
Ir4 0.5000 0.7028 0.4349  2 Al 2.51, 2 Ti 2.73
Ir5 0.5000 0.9349 0.2028  2 Al 2.51, 2 Ti 2.73
Ir6 0.5000 0.2972 0.5651  2 Al 2.51, 2 Ti 2.73
Ir7 0.5000 0.5651 0.7028  2 Al 2.51, 2 Ti 2.73
Ir8 0.5000 0.4349 0.2972  2 Al 2.51, 2 Ti 2.73
Ir9 0.5000 0.5000 0.0000  4 Al 2.47
Ir10 0.5000 0.0000 0.5000  4 Al 2.47

No. 8
## TbTi2AlIr4 (PBE-GGA)

Data for an optimized crystal structure of TbTi2AlIr4.

Summary:
* total energy: -8.24 eV per atom
* density: 13.116 g cm⁻³
* DFT formation energy: -0.79 eV/atom
* symmetry: R-3m

abc: 4.3638 4.3638 8.4488
angles: 75.03 75.03 60.00
Last column: nearest neighbours and their distance in Å.
Atoms (fractional coordinates):
Tb1 0.0000 0.0000 0.0000  8 Ir 2.95-3.17
Ti1 0.7584 0.7584 0.7249  7 Ir 2.61-2.69
Ti2 0.2416 0.2416 0.2751  7 Ir 2.61-2.69
Al1 0.5000 0.5000 0.5000  8 Ir 2.50-2.66
Ir1 0.3969 0.3969 0.8094  1 Al 2.50, 3 Ti 2.61
Ir2 0.8689 0.8689 0.3934  3 Al 2.66, 4 Ti 2.67-2.69
Ir3 0.1311 0.1311 0.6066  3 Al 2.66, 4 Ti 2.67-2.69
Ir4 0.6031 0.6031 0.1906  1 Al 2.50, 3 Ti 2.61

No. 9
## TbTmAlIr (PBE-GGA)

Data for an optimized crystal structure of TbTmAlIr.

Summary:
* total energy: -6.01 eV per atom
* density: 10.595 g cm⁻³
* DFT formation energy: -0.58 eV/atom
* symmetry: F-43m

abc: 4.9496 4.9496 4.9496
angles: 60.00 60.00 60.00
Last column: nearest neighbours and their distance in Å.
Atoms (fractional coordinates):
Tb1 0.5000 0.5000 0.5000  4 Al 3.03, 4 Ir 3.03
Ir1 0.7500 0.7500 0.7500  4 Tm 3.03, 4 Tb 3.03
Tm1 0.0000 0.0000 0.0000  4 Ir 3.03, 4 Al 3.03
Al1 0.2500 0.2500 0.2500  4 Tb 3.03, 4 Tm 3.03

No. 10
## AlTc4Ir (PBE-GGA)

Data for an optimized crystal structure of AlTc4Ir.

Summary:
* total energy: -8.72 eV per atom
* density: 10.964 g cm⁻³
* DFT formation energy: 0.29 eV/atom
* symmetry: F-43m

abc: 5.0776 5.0776 5.0776
angles: 60.00 60.00 60.00
Last column: nearest neighbours and their distance in Å.
Atoms (fractional coordinates):
Al1 0.7500 0.7500 0.7500  12 Tc 2.98, 4 Ir 3.11
Tc1 0.8741 0.3753 0.3753  6 Tc 2.53-2.54
Tc2 0.3753 0.3753 0.8741  6 Tc 2.53-2.54
Tc3 0.3753 0.8741 0.3753  6 Tc 2.53-2.54
Tc4 0.3753 0.3753 0.3753  6 Tc 2.53-2.54
Ir1 0.0000 0.0000 0.0000  12 Tc 2.98, 4 Al 3.11

No. 11
## Al2TcIr (PBE-GGA)

Data for an optimized crystal structure of Al2TcIr.

Summary:
* total energy: -7.31 eV per atom
* density: 10.288 g cm⁻³
* DFT formation energy: -0.64 eV/atom
* symmetry: Fm-3m

abc: 4.2829 4.2829 4.2829
angles: 60.00 60.00 60.00
Last column: nearest neighbours and their distance in Å.
Atoms (fractional coordinates):
Ir1 0.5000 0.5000 0.5000  8 Al 2.62
Tc1 0.0000 0.0000 0.0000  8 Al 2.62
Al1 0.2500 0.2500 0.2500  4 Ir 2.62, 4 Tc 2.62
Al2 0.7500 0.7500 0.7500  4 Ir 2.62, 4 Tc 2.62

No. 12
## Al2TcIr (PBE-GGA)

Data for an optimized crystal structure of Al2TcIr.

Summary:
* total energy: -7.10 eV per atom
* density: 9.977 g cm⁻³
* DFT formation energy: -0.42 eV/atom
* symmetry: Amm2

abc: 4.2443 2.7735 5.0602
angles: 74.10 90.00 90.00
Last column: nearest neighbours and their distance in Å.
Atoms (fractional coordinates):
Ir1 0.0000 0.4668 0.4415  7 Al 2.54-2.71, 2 Ir 2.77
Tc1 0.5000 0.7839 0.8074  7 Al 2.52-2.72, 2 Tc 2.77
Al1 0.0000 0.2057 0.9625  3 Ir 2.54-2.71, 4 Tc 2.64-2.65, 4 Al 2.65-2.77
Al2 0.5000 0.0436 0.2886  3 Tc 2.52-2.72, 4 Ir 2.64, 4 Al 2.65-2.77